# Ta2Nb4Pd (PBE-GGA, relaxed)
data_Ta2Nb4Pd
_chemical_formula_sum 'Ta2 Nb4 Pd1'
_cell_length_a 4.818
_cell_length_b 4.818
_cell_length_c 7.463
_cell_angle_alpha 71.17
_cell_angle_beta 71.17
_cell_angle_gamma 90.00
_symmetry_space_group_name_H-M 'P 1'
_symmetry_Int_Tables_number 1
_symmetry_space_group_name_Hall 'P 1'
loop_
_atom_site_label
_atom_site_fract_x
_atom_site_fract_y
_atom_site_fract_z
_atom_site_occupancy
Nb1 0.195 0.195 0.610 1
Nb2 0.805 0.805 0.390 1
Nb3 0.000 0.500 0.000 1
Nb4 0.500 0.000 0.000 1
Pd1 0.000 0.000 0.000 1
Ta1 0.385 0.385 0.231 1
Ta2 0.615 0.615 0.769 1
# Excess energy over the best structure of this formula in the dataset in meV/atom: 1000
# DFT formation energy in eV per atom: 1.23
# Symmetry: I4/mmm
# Crystal system: tetragonal
# ρ in g/cm³: 9.05

# Li2Tb3Cu7 (PBE-GGA, relaxed)
data_Li2Tb3Cu7
_chemical_formula_sum 'Li2 Tb3 Cu7'
_cell_length_a 5.271
_cell_length_b 5.271
_cell_length_c 8.760
_cell_angle_alpha 72.49
_cell_angle_beta 72.49
_cell_angle_gamma 60.00
_symmetry_space_group_name_H-M 'P 1'
_symmetry_Int_Tables_number 1
_symmetry_space_group_name_Hall 'P 1'
loop_
_atom_site_label
_atom_site_fract_x
_atom_site_fract_y
_atom_site_fract_z
_atom_site_occupancy
Li1 0.668 0.668 0.996 1
Li2 0.332 0.332 0.004 1
Tb1 0.000 0.000 0.000 1
Tb2 0.862 0.862 0.415 1
Tb3 0.138 0.138 0.585 1
Cu1 0.500 0.500 0.500 1
Cu2 0.917 0.417 0.248 1
Cu3 0.417 0.917 0.248 1
Cu4 0.417 0.417 0.248 1
Cu5 0.083 0.583 0.752 1
Cu6 0.583 0.583 0.752 1
Cu7 0.583 0.083 0.752 1
# DFT formation energy in eV per atom: -0.14
# Symmetry: R-3m
# Crystal system: trigonal
# ρ in g/cm³: 7.86

# La6Ga5Hg (PBE-GGA, relaxed)
data_La6Ga5Hg
_chemical_formula_sum 'La6 Ga5 Hg1'
_cell_length_a 5.382
_cell_length_b 9.313
_cell_length_c 9.313
_cell_angle_alpha 120.03
_cell_angle_beta 106.81
_cell_angle_gamma 106.81
_symmetry_space_group_name_H-M 'P 1'
_symmetry_Int_Tables_number 1
_symmetry_space_group_name_Hall 'P 1'
loop_
_atom_site_label
_atom_site_fract_x
_atom_site_fract_y
_atom_site_fract_z
_atom_site_occupancy
Hg1 0.000 0.000 0.000 1
Ga1 0.500 0.162 0.838 1
Ga2 0.000 0.333 0.667 1
Ga3 0.500 0.500 0.500 1
Ga4 0.000 0.667 0.333 1
Ga5 0.500 0.838 0.162 1
La1 0.254 0.084 0.424 1
La2 0.746 0.576 0.916 1
La3 0.758 0.258 0.258 1
La4 0.242 0.742 0.742 1
La5 0.254 0.424 0.084 1
La6 0.746 0.916 0.576 1
# DFT formation energy in eV per atom: -0.55
# Symmetry: Immm
# Crystal system: orthorhombic
# ρ in g/cm³: 6.96

# Ac8Tl2Os (PBE-GGA, relaxed)
data_Ac8Tl2Os
_chemical_formula_sum 'Ac8 Tl2 Os1'
_cell_length_a 5.043
_cell_length_b 8.116
_cell_length_c 10.911
_cell_angle_alpha 93.12
_cell_angle_beta 103.36
_cell_angle_gamma 90.00
_symmetry_space_group_name_H-M 'P 1'
_symmetry_Int_Tables_number 1
_symmetry_space_group_name_Hall 'P 1'
loop_
_atom_site_label
_atom_site_fract_x
_atom_site_fract_y
_atom_site_fract_z
_atom_site_occupancy
Ac1 0.596 0.501 0.192 1
Ac2 0.365 0.990 0.730 1
Ac3 0.221 0.317 0.442 1
Ac4 0.003 0.778 0.007 1
Ac5 0.779 0.683 0.558 1
Ac6 0.635 0.010 0.270 1
Ac7 0.404 0.499 0.808 1
Ac8 0.997 0.222 0.993 1
Tl1 0.176 0.745 0.351 1
Tl2 0.824 0.255 0.649 1
Os1 0.500 0.000 0.000 1
# Excess energy over the best structure of this formula in the dataset in meV/atom: 0
# DFT formation energy in eV per atom: -0.10
# Symmetry: C2/m
# Crystal system: monoclinic
# ρ in g/cm³: 9.25

# LaTbTm2 (PBE-GGA, relaxed)
data_LaTbTm2
_chemical_formula_sum 'La1 Tb1 Tm2'
_cell_length_a 5.700
_cell_length_b 5.700
_cell_length_c 5.700
_cell_angle_alpha 60.00
_cell_angle_beta 60.00
_cell_angle_gamma 60.00
_symmetry_space_group_name_H-M 'P 1'
_symmetry_Int_Tables_number 1
_symmetry_space_group_name_Hall 'P 1'
loop_
_atom_site_label
_atom_site_fract_x
_atom_site_fract_y
_atom_site_fract_z
_atom_site_occupancy
Tm1 0.250 0.250 0.250 1
Tm2 0.750 0.750 0.750 1
Tb1 0.000 0.000 0.000 1
La1 0.500 0.500 0.500 1
# Excess energy over the best structure of this formula in the dataset in meV/atom: 80
# DFT formation energy in eV per atom: 0.10
# Symmetry: Fm-3m
# Crystal system: cubic
# ρ in g/cm³: 8.06

# La3IrPb (PBE-GGA, relaxed)
data_La3IrPb
_chemical_formula_sum 'La3 Ir1 Pb1'
_cell_length_a 4.012
_cell_length_b 9.233
_cell_length_c 9.233
_cell_angle_alpha 130.22
_cell_angle_beta 90.00
_cell_angle_gamma 90.00
_symmetry_space_group_name_H-M 'P 1'
_symmetry_Int_Tables_number 1
_symmetry_space_group_name_Hall 'P 1'
loop_
_atom_site_label
_atom_site_fract_x
_atom_site_fract_y
_atom_site_fract_z
_atom_site_occupancy
Pb1 0.500 0.096 0.904 1
Ir1 0.000 0.410 0.590 1
La1 0.500 0.681 0.803 1
La2 0.500 0.197 0.319 1
La3 0.000 0.244 0.756 1
# Excess energy over the best structure of this formula in the dataset in meV/atom: 681
# DFT formation energy in eV per atom: -0.01
# Symmetry: Amm2
# Crystal system: orthorhombic
# ρ in g/cm³: 5.19

# La2MnPt (PBE-GGA, relaxed)
data_La2MnPt
_chemical_formula_sum 'La2 Mn1 Pt1'
_cell_length_a 3.739
_cell_length_b 3.739
_cell_length_c 7.251
_cell_angle_alpha 90.00
_cell_angle_beta 90.00
_cell_angle_gamma 90.02
_symmetry_space_group_name_H-M 'P 1'
_symmetry_Int_Tables_number 1
_symmetry_space_group_name_Hall 'P 1'
loop_
_atom_site_label
_atom_site_fract_x
_atom_site_fract_y
_atom_site_fract_z
_atom_site_occupancy
La1 0.000 0.000 0.988 1
La2 0.000 0.000 0.512 1
Mn1 0.500 0.500 0.250 1
Pt1 0.500 0.500 0.750 1
# DFT formation energy in eV per atom: -0.38
# Symmetry: P4/mmm
# Crystal system: tetragonal
# ρ in g/cm³: 8.65

# In2HgTe4 (PBE-GGA, relaxed)
data_In2HgTe4
_chemical_formula_sum 'In2 Hg1 Te4'
_cell_length_a 6.329
_cell_length_b 6.329
_cell_length_c 6.469
_cell_angle_alpha 90.00
_cell_angle_beta 90.00
_cell_angle_gamma 90.00
_symmetry_space_group_name_H-M 'P 1'
_symmetry_Int_Tables_number 1
_symmetry_space_group_name_Hall 'P 1'
loop_
_atom_site_label
_atom_site_fract_x
_atom_site_fract_y
_atom_site_fract_z
_atom_site_occupancy
In1 0.500 0.000 0.500 1
In2 0.000 0.500 0.500 1
Hg1 0.000 0.000 0.000 1
Te1 0.724 0.276 0.771 1
Te2 0.276 0.276 0.229 1
Te3 0.276 0.724 0.771 1
Te4 0.724 0.724 0.229 1
# ΔE_f (raw) in meV/atom: -294
# Excess energy over the best structure of this formula in the dataset in meV/atom: 4
# Symmetry: P-42m
# Crystal system: tetragonal
# ρ in g/cm³: 6.03

# RbHg (PBE-GGA, relaxed)
data_RbHg
_chemical_formula_sum 'Rb4 Hg4'
_cell_length_a 7.360
_cell_length_b 7.360
_cell_length_c 7.401
_cell_angle_alpha 90.00
_cell_angle_beta 90.00
_cell_angle_gamma 90.00
_symmetry_space_group_name_H-M 'P 1'
_symmetry_Int_Tables_number 1
_symmetry_space_group_name_Hall 'P 1'
loop_
_atom_site_label
_atom_site_fract_x
_atom_site_fract_y
_atom_site_fract_z
_atom_site_occupancy
Rb1 0.189 0.811 0.000 1
Rb2 0.689 0.689 0.500 1
Rb3 0.311 0.311 0.500 1
Rb4 0.811 0.189 0.000 1
Hg1 0.349 0.349 0.000 1
Hg2 0.849 0.151 0.500 1
Hg3 0.151 0.849 0.500 1
Hg4 0.651 0.651 0.000 1
# DFT formation energy in eV per atom: -0.15
# Symmetry: P4_2/mnm
# Crystal system: tetragonal
# ρ in g/cm³: 4.74

# TlRePb (PBE-GGA, relaxed)
data_TlRePb
_chemical_formula_sum 'Tl1 Re1 Pb1'
_cell_length_a 3.135
_cell_length_b 3.135
_cell_length_c 8.414
_cell_angle_alpha 90.00
_cell_angle_beta 90.00
_cell_angle_gamma 120.00
_symmetry_space_group_name_H-M 'P 1'
_symmetry_Int_Tables_number 1
_symmetry_space_group_name_Hall 'P 1'
loop_
_atom_site_label
_atom_site_fract_x
_atom_site_fract_y
_atom_site_fract_z
_atom_site_occupancy
Pb1 0.000 0.000 0.054 1
Re1 0.667 0.333 0.329 1
Tl1 0.333 0.667 0.617 1
# Excess energy over the best structure of this formula in the dataset in meV/atom: 0
# DFT formation energy in eV per atom: 0.90
# Symmetry: P3m1
# Crystal system: trigonal
# ρ in g/cm³: 13.86

# LaIn2Co (PBE-GGA, relaxed)
data_LaIn2Co
_chemical_formula_sum 'La1 In2 Co1'
_cell_length_a 5.933
_cell_length_b 5.933
_cell_length_c 3.212
_cell_angle_alpha 86.66
_cell_angle_beta 86.66
_cell_angle_gamma 121.51
_symmetry_space_group_name_H-M 'P 1'
_symmetry_Int_Tables_number 1
_symmetry_space_group_name_Hall 'P 1'
loop_
_atom_site_label
_atom_site_fract_x
_atom_site_fract_y
_atom_site_fract_z
_atom_site_occupancy
Co1 0.000 0.500 0.500 1
In1 0.000 0.000 0.000 1
In2 0.500 0.500 0.000 1
La1 0.500 0.000 0.500 1
# DFT formation energy in eV per atom: 0.22
# Symmetry: C2/m
# Crystal system: monoclinic
# ρ in g/cm³: 7.42

# SrBe2Ru (PBE-GGA, relaxed)
data_SrBe2Ru
_chemical_formula_sum 'Sr1 Be2 Ru1'
_cell_length_a 3.217
_cell_length_b 3.217
_cell_length_c 6.661
_cell_angle_alpha 90.00
_cell_angle_beta 90.00
_cell_angle_gamma 90.00
_symmetry_space_group_name_H-M 'P 1'
_symmetry_Int_Tables_number 1
_symmetry_space_group_name_Hall 'P 1'
loop_
_atom_site_label
_atom_site_fract_x
_atom_site_fract_y
_atom_site_fract_z
_atom_site_occupancy
Ru1 0.000 0.000 0.387 1
Be1 0.000 0.000 0.080 1
Be2 0.500 0.500 0.294 1
Sr1 0.500 0.500 0.739 1
# Excess energy over the best structure of this formula in the dataset in meV/atom: 352
# DFT formation energy in eV per atom: 0.29
# Symmetry: P4mm
# Crystal system: tetragonal
# ρ in g/cm³: 4.98

no.,magnetization (μB/cell),uncorrected energy (eV/f.u.)
1,0.00,-60.6
2,0.00,-48.1
3,0.00,-51.6
4,0.00,-50.0
5,0.00,-18.1
6,0.00,-27.4
7,3.22,-26.6
8,0.00,-20.4
9,0.00,-1.6
10,0.01,-15.8
11,1.09,-16.6
12,0.00,-17.2